Model w:
# BeZnPd2

BeZnPd2 after structural relaxation (GGA-PBE, the Alexandria database).

Results
magnetization = 0.0 μB/cell
V = 13.533 Å³ per atom
symmetry = R3m (160)
theoretical density = 8.81 g cm⁻³
DOS(E_F) = 0.23 states/eV/atom

Cell: 7.530 7.530 7.530 Å, 22.35 22.35 22.35°
Positions (direct):
Be 0.000 0.000 0.000
Zn 0.167 0.167 0.167
Pd 0.405 0.405 0.405
Pd 0.594 0.594 0.594

---

Model x:
# BeZnPd2

BeZnPd2 after structural relaxation (GGA-PBE, the Alexandria database).

Results
magnetization = 0.0 μB/cell
V = 13.048 Å³ per atom
symmetry = Fm-3m (225)
theoretical density = 9.14 g cm⁻³
DOS(E_F) = 0.47 states/eV/atom

Cell: 4.195 4.195 4.195 Å, 60.00 60.00 60.00°
Positions (direct):
Be 0.000 0.000 0.000
Zn 0.500 0.500 0.500
Pd 0.250 0.250 0.250
Pd 0.750 0.750 0.750

---

Model y:
# BeZnPd2

BeZnPd2 after structural relaxation (GGA-PBE, the Alexandria database).

Results
magnetization = 0.0 μB/cell
V = 14.072 Å³ per atom
symmetry = I-42d (122)
theoretical density = 8.47 g cm⁻³
DOS(E_F) = 0.14 states/eV/atom

Cell: 5.309 5.309 5.309 Å, 104.76 104.76 119.37°
Positions (direct):
Be 0.000 0.000 0.000
Be 0.750 0.250 0.500
Zn 0.250 0.750 0.500
Zn 0.500 0.500 0.000
Pd 0.075 0.125 0.450
Pd 0.375 0.925 0.050
Pd 0.675 0.625 0.550
Pd 0.875 0.325 0.950

---

Model z:
# BeZnPd2

BeZnPd2 after structural relaxation (GGA-PBE, the Alexandria database).

Results
magnetization = 0.0 μB/cell
V = 12.914 Å³ per atom
symmetry = P4/mmm (123)
theoretical density = 9.23 g cm⁻³
DOS(E_F) = 0.17 states/eV/atom

Cell: 2.807 2.807 6.557 Å, 90.00 90.00 90.00°
Positions (direct):
Be 0.000 0.000 0.000
Zn 0.000 0.000 0.500
Pd 0.500 0.500 0.218
Pd 0.500 0.500 0.782

---

Energetically preferred structure: model z | next structure: +81 meV per atom

---

Model w:
# Be2ZnPd8

Be2ZnPd8 after structural relaxation (GGA-PBE, the Alexandria database).

Results
magnetization = 0.0 μB/cell
V = 14.061 Å³ per atom
symmetry = C2/m (12)
theoretical density = 10.04 g cm⁻³
DOS(E_F) = 0.49 states/eV/atom

Cell: 7.218 7.218 5.947 Å, 109.34 109.34 32.13°
Positions (direct):
Be 0.193 0.193 0.181
Be 0.807 0.807 0.819
Zn 0.500 0.500 0.500
Pd 0.036 0.036 0.255
Pd 0.185 0.185 0.788
Pd 0.322 0.322 0.540
Pd 0.400 0.400 0.020
Pd 0.600 0.600 0.980
Pd 0.678 0.678 0.460
Pd 0.815 0.815 0.212
Pd 0.964 0.964 0.745

---

Model x:
# Be2ZnPd8

Be2ZnPd8 after structural relaxation (GGA-PBE, the Alexandria database).

Results
magnetization = 0.0 μB/cell
V = 14.267 Å³ per atom
symmetry = Immm (71)
theoretical density = 9.89 g cm⁻³
DOS(E_F) = 0.72 states/eV/atom

Cell: 7.177 7.177 7.177 Å, 149.16 123.15 66.08°
Positions (direct):
Be 0.207 0.207 0.000
Be 0.793 0.793 0.000
Zn 0.500 0.500 0.000
Pd 0.044 0.335 0.708
Pd 0.190 0.000 0.190
Pd 0.355 0.855 0.500
Pd 0.373 0.665 0.708
Pd 0.627 0.335 0.292
Pd 0.645 0.145 0.500
Pd 0.810 0.000 0.810
Pd 0.956 0.665 0.292

---

Energetically preferred structure: model w | next structure: +45 meV per atom

---

Model w:
# BeZn2Pd2

BeZn2Pd2 after structural relaxation (GGA-PBE, the Alexandria database).

Results
magnetization = 0.0 μB/cell
V = 14.203 Å³ per atom
symmetry = P4/mbm (127)
theoretical density = 8.25 g cm⁻³
DOS(E_F) = 0.46 states/eV/atom

Cell: 6.347 6.347 3.526 Å, 90.00 90.00 90.00°
Positions (direct):
Be 0.000 0.000 0.000
Be 0.500 0.500 0.000
Zn 0.137 0.363 0.000
Zn 0.363 0.863 0.000
Zn 0.637 0.137 0.000
Zn 0.863 0.637 0.000
Pd 0.167 0.667 0.500
Pd 0.333 0.167 0.500
Pd 0.667 0.833 0.500
Pd 0.833 0.333 0.500

---

Model x:
# BeZn2Pd2

BeZn2Pd2 after structural relaxation (GGA-PBE, the Alexandria database).

Results
magnetization = 0.0 μB/cell
V = 14.397 Å³ per atom
symmetry = P4/mbm (127)
theoretical density = 8.14 g cm⁻³
DOS(E_F) = 0.36 states/eV/atom

Cell: 5.955 5.955 4.060 Å, 90.00 90.00 90.00°
Positions (direct):
Be 0.000 0.000 0.000
Be 0.500 0.500 0.000
Zn 0.155 0.345 0.500
Zn 0.345 0.845 0.500
Zn 0.655 0.155 0.500
Zn 0.845 0.655 0.500
Pd 0.159 0.659 0.000
Pd 0.341 0.159 0.000
Pd 0.659 0.841 0.000
Pd 0.841 0.341 0.000

---

Energetically preferred structure: model x | next structure: +209 meV per atom

---

Model w:
# Pm2PrBe

Pm2PrBe after structural relaxation (GGA-PBE, the Alexandria database).

Results
magnetization = 0.0 μB/cell
V = 28.271 Å³ per atom
symmetry = P4/mmm (123)
theoretical density = 6.46 g cm⁻³
DOS(E_F) = 1.09 states/eV/atom

Cell: 3.579 3.579 8.827 Å, 90.00 90.00 90.00°
Positions (direct):
Pm 0.000 0.000 0.190
Pm 0.000 0.000 0.810
Pr 0.500 0.500 0.500
Be 0.500 0.500 0.000

---

Model x:
# Pm2PrBe

Pm2PrBe after structural relaxation (GGA-PBE, the Alexandria database).

Results
magnetization = 0.0 μB/cell
V = 31.823 Å³ per atom
symmetry = R-3m (166)
theoretical density = 5.74 g cm⁻³
DOS(E_F) = 1.29 states/eV/atom

Cell: 11.916 11.916 11.916 Å, 17.08 17.08 17.08°
Positions (direct):
Pm 0.083 0.083 0.083
Pm 0.917 0.917 0.917
Pr 0.500 0.500 0.500
Be 0.000 0.000 0.000

---

Energetically preferred structure: model w | next structure: +609 meV per atom

---

Model w:
# Pm2BePt

Pm2BePt after structural relaxation (GGA-PBE, the Alexandria database).

Results
magnetization = 0.0 μB/cell
V = 22.393 Å³ per atom
symmetry = P4/mmm (123)
theoretical density = 9.16 g cm⁻³
DOS(E_F) = 0.89 states/eV/atom

Cell: 3.601 3.601 6.906 Å, 90.00 90.00 90.00°
Positions (direct):
Pm 0.000 0.000 0.247
Pm 0.000 0.000 0.753
Be 0.500 0.500 0.000
Pt 0.500 0.500 0.500

---

Model x:
# Pm2BePt

Pm2BePt after structural relaxation (GGA-PBE, the Alexandria database).

Results
magnetization = 0.0 μB/cell
V = 22.660 Å³ per atom
symmetry = Fm-3m (225)
theoretical density = 9.05 g cm⁻³
DOS(E_F) = 0.68 states/eV/atom

Cell: 5.042 5.042 5.042 Å, 60.00 60.00 60.00°
Positions (direct):
Pm 0.250 0.250 0.250
Pm 0.750 0.750 0.750
Be 0.000 0.000 0.000
Pt 0.500 0.500 0.500

---

Energetically preferred structure: model w | next structure: +34 meV per atom

---

Model w:
# Pm2Be2Pt3

Pm2Be2Pt3 after structural relaxation (GGA-PBE, the Alexandria database).

Results
magnetization = 0.0 μB/cell
V = 18.706 Å³ per atom
symmetry = Cmcm (63)
theoretical density = 11.33 g cm⁻³
DOS(E_F) = 0.51 states/eV/atom

Cell: 9.530 9.530 7.008 Å, 90.00 90.00 155.70°
Positions (direct):
Pm 0.055 0.945 0.750
Pm 0.167 0.833 0.250
Pm 0.833 0.167 0.750
Pm 0.945 0.055 0.250
Be 0.317 0.683 0.082
Be 0.317 0.683 0.418
Be 0.683 0.317 0.582
Be 0.683 0.317 0.918
Pt 0.214 0.786 0.750
Pt 0.429 0.571 0.555
Pt 0.429 0.571 0.945
Pt 0.571 0.429 0.055
Pt 0.571 0.429 0.445
Pt 0.786 0.214 0.250

---

Model x:
# Pm2Be2Pt3

Pm2Be2Pt3 after structural relaxation (GGA-PBE, the Alexandria database).

Results
magnetization = 0.0 μB/cell
V = 17.799 Å³ per atom
symmetry = C2/m (12)
theoretical density = 11.91 g cm⁻³
DOS(E_F) = 0.47 states/eV/atom

Cell: 5.462 5.462 7.083 Å, 112.78 112.78 40.33°
Positions (direct):
Pm 0.134 0.134 0.268
Pm 0.866 0.866 0.732
Be 0.146 0.146 0.750
Be 0.854 0.854 0.250
Pt 0.370 0.370 0.062
Pt 0.500 0.500 0.500
Pt 0.630 0.630 0.938

---

Energetically preferred structure: model w | next structure: +26 meV per atom

---

Model w:
# PmBeRh

PmBeRh after structural relaxation (GGA-PBE, the Alexandria database).

Results
magnetization = 0.0 μB/cell
V = 18.674 Å³ per atom
symmetry = P-6m2 (187)
theoretical density = 7.62 g cm⁻³
DOS(E_F) = 0.40 states/eV/atom

Cell: 3.950 3.950 4.147 Å, 90.00 90.00 120.00°
Positions (direct):
Pm 0.000 0.000 0.000
Be 0.333 0.667 0.500
Rh 0.667 0.333 0.500

---

Model x:
# PmBeRh

PmBeRh after structural relaxation (GGA-PBE, the Alexandria database).

Results
magnetization = 0.0 μB/cell
V = 17.991 Å³ per atom
symmetry = Pnma (62)
theoretical density = 7.90 g cm⁻³
DOS(E_F) = 0.54 states/eV/atom

Cell: 6.926 4.203 7.416 Å, 90.00 90.00 90.00°
Positions (direct):
Pm 0.010 0.250 0.193
Pm 0.490 0.750 0.693
Pm 0.510 0.250 0.307
Pm 0.990 0.750 0.807
Be 0.175 0.250 0.581
Be 0.325 0.750 0.081
Be 0.675 0.250 0.919
Be 0.825 0.750 0.419
Rh 0.165 0.750 0.435
Rh 0.335 0.250 0.935
Rh 0.665 0.750 0.065
Rh 0.835 0.250 0.565

---

Energetically preferred structure: model w | next structure: +28 meV per atom

---

Model w:
# PmBeRh

PmBeRh after structural relaxation (GGA-PBE, the Alexandria database).

Results
magnetization = 0.0 μB/cell
V = 18.689 Å³ per atom
symmetry = P6_3/mmc (194)
theoretical density = 7.61 g cm⁻³
DOS(E_F) = 0.64 states/eV/atom

Cell: 3.971 3.971 8.212 Å, 90.00 90.00 120.00°
Positions (direct):
Pm 0.000 0.000 0.000
Pm 0.000 0.000 0.500
Be 0.333 0.667 0.250
Be 0.667 0.333 0.750
Rh 0.333 0.667 0.750
Rh 0.667 0.333 0.250

---

Model x:
# PmBeRh

PmBeRh after structural relaxation (GGA-PBE, the Alexandria database).

Results
magnetization = 0.0 μB/cell
V = 19.947 Å³ per atom
symmetry = I4mm (107)
theoretical density = 7.13 g cm⁻³
DOS(E_F) = 0.55 states/eV/atom

Cell: 4.859 4.859 4.859 Å, 133.23 133.23 68.29°
Positions (direct):
Pm 0.000 0.000 0.000
Be 0.352 0.352 0.000
Rh 0.628 0.628 0.000

---

Energetically preferred structure: model w | next structure: +490 meV per atom

---

Model w:
# PmBeRh2

PmBeRh2 after structural relaxation (GGA-PBE, the Alexandria database).

Results
magnetization = 0.0 μB/cell
V = 16.141 Å³ per atom
symmetry = P4/mmm (123)
theoretical density = 9.25 g cm⁻³
DOS(E_F) = 0.46 states/eV/atom

Cell: 3.153 3.153 6.497 Å, 90.00 90.00 90.00°
Positions (direct):
Pm 0.000 0.000 0.000
Be 0.000 0.000 0.500
Rh 0.500 0.500 0.300
Rh 0.500 0.500 0.700

---

Model x:
# PmBeRh2

PmBeRh2 after structural relaxation (GGA-PBE, the Alexandria database).

Results
magnetization = 0.0 μB/cell
V = 17.095 Å³ per atom
symmetry = Cmmm (65)
theoretical density = 8.74 g cm⁻³
DOS(E_F) = 0.38 states/eV/atom

Cell: 8.208 8.208 4.126 Å, 90.00 90.00 150.53°
Positions (direct):
Pm 0.141 0.859 0.000
Pm 0.859 0.141 0.000
Be 0.432 0.568 0.500
Be 0.568 0.432 0.500
Rh 0.000 0.000 0.500
Rh 0.295 0.705 0.500
Rh 0.500 0.500 0.000
Rh 0.705 0.295 0.500

---

Energetically preferred structure: model x | next structure: +221 meV per atom

---

Model w:
# Pm2BeRu

Pm2BeRu after structural relaxation (GGA-PBE, the Alexandria database).

Results
magnetization = 0.0 μB/cell
V = 21.642 Å³ per atom
symmetry = Fm-3m (225)
theoretical density = 7.67 g cm⁻³
DOS(E_F) = 1.13 states/eV/atom

Cell: 4.965 4.965 4.965 Å, 60.00 60.00 60.00°
Positions (direct):
Pm 0.250 0.250 0.250
Pm 0.750 0.750 0.750
Be 0.000 0.000 0.000
Ru 0.500 0.500 0.500

---

Model x:
# Pm2BeRu

Pm2BeRu after structural relaxation (GGA-PBE, the Alexandria database).

Results
magnetization = 0.0 μB/cell
V = 21.460 Å³ per atom
symmetry = P4/mmm (123)
theoretical density = 7.74 g cm⁻³
DOS(E_F) = 0.80 states/eV/atom

Cell: 3.525 3.525 6.909 Å, 90.00 90.00 90.00°
Positions (direct):
Pm 0.000 0.000 0.249
Pm 0.000 0.000 0.751
Be 0.500 0.500 0.500
Ru 0.500 0.500 0.000

---

Energetically preferred structure: model x | next structure: +9 meV per atom

---

Model w:
# PmBeRu

PmBeRu after structural relaxation (GGA-PBE, the Alexandria database).

Results
magnetization = 0.0 μB/cell
V = 18.854 Å³ per atom
symmetry = Pnma (62)
theoretical density = 7.49 g cm⁻³
DOS(E_F) = 0.42 states/eV/atom

Cell: 13.373 3.598 4.702 Å, 90.00 90.00 90.00°
Positions (direct):
Pm 0.147 0.250 0.133
Pm 0.353 0.750 0.633
Pm 0.647 0.250 0.367
Pm 0.853 0.750 0.867
Be 0.019 0.250 0.617
Be 0.481 0.750 0.117
Be 0.519 0.250 0.883
Be 0.981 0.750 0.383
Ru 0.125 0.750 0.634
Ru 0.375 0.250 0.134
Ru 0.625 0.750 0.866
Ru 0.875 0.250 0.366

---

Model x:
# PmBeRu

PmBeRu after structural relaxation (GGA-PBE, the Alexandria database).

Results
magnetization = 0.0 μB/cell
V = 17.729 Å³ per atom
symmetry = Pnma (62)
theoretical density = 7.96 g cm⁻³
DOS(E_F) = 0.67 states/eV/atom

Cell: 6.996 4.166 7.300 Å, 90.00 90.00 90.00°
Positions (direct):
Pm 0.008 0.250 0.197
Pm 0.492 0.750 0.697
Pm 0.508 0.250 0.303
Pm 0.992 0.750 0.803
Be 0.179 0.250 0.586
Be 0.321 0.750 0.086
Be 0.679 0.250 0.914
Be 0.821 0.750 0.414
Ru 0.165 0.750 0.434
Ru 0.335 0.250 0.934
Ru 0.665 0.750 0.066
Ru 0.835 0.250 0.566

---

Model y:
# PmBeRu

PmBeRu after structural relaxation (GGA-PBE, the Alexandria database).

Results
magnetization = 0.0 μB/cell
V = 18.908 Å³ per atom
symmetry = P4/nmm (129)
theoretical density = 7.47 g cm⁻³
DOS(E_F) = 0.66 states/eV/atom

Cell: 4.339 4.339 6.027 Å, 90.00 90.00 90.00°
Positions (direct):
Pm 0.250 0.250 0.177
Pm 0.750 0.750 0.823
Be 0.250 0.250 0.641
Be 0.750 0.750 0.359
Ru 0.250 0.750 0.500
Ru 0.750 0.250 0.500

---

Model z:
# PmBeRu

PmBeRu after structural relaxation (GGA-PBE, the Alexandria database).

Results
magnetization = 0.0 μB/cell
V = 18.481 Å³ per atom
symmetry = P-6m2 (187)
theoretical density = 7.64 g cm⁻³
DOS(E_F) = 0.76 states/eV/atom

Cell: 3.985 3.985 4.031 Å, 90.00 90.00 120.00°
Positions (direct):
Pm 0.000 0.000 0.000
Be 0.667 0.333 0.500
Ru 0.333 0.667 0.500

---

Energetically preferred structure: model y | next structure: +87 meV per atom